Ca2TlPbO5 PBE optimized geometry; formation energy (no corrections) = -1.677 eV per atom; symmetry = Cmc2_1, No. 36; theoretical density = 6539 kg/m³
1.0
3.490 0.000 0.000
-1.745 6.767 0.000
0.000 0.000 12.295
Ca Tl Pb O
4 2 2 10
direct
0.833 0.665 0.752
0.066 0.132 0.669
0.167 0.335 0.252
0.934 0.868 0.169
0.741 0.483 0.520
0.259 0.517 0.020
0.549 0.097 0.941
0.451 0.903 0.441
0.416 0.833 0.048
0.730 0.459 0.903
0.472 0.943 0.775
0.242 0.484 0.666
0.911 0.822 0.551
0.584 0.167 0.548
0.270 0.541 0.403
0.528 0.057 0.275
0.758 0.516 0.166
0.089 0.178 0.051

---

Ca2Tm4Pb3O2 PBE optimized geometry; formation energy (no corrections) = -1.424 eV per atom; symmetry = I4/mmm, No. 139; theoretical density = 8517 kg/m³
1.0
-0.480 0.357 -4.627
4.611 -0.493 -0.516
-3.496 -12.446 1.756
Ca Tm Pb O
2 4 3 2
direct
0.305 0.305 0.609
0.695 0.695 0.391
0.415 0.915 0.829
0.915 0.415 0.829
0.085 0.585 0.171
0.585 0.085 0.171
0.000 0.000 0.000
0.173 0.173 0.347
0.827 0.827 0.653
0.407 0.407 0.814
0.593 0.593 0.186